1.
# AcNdAgPd

An optimized crystal structure of AcNdAgPd (PBE-GGA, the Alexandria database).

For the energy relative to the elements, the calculation gives -11.47 kcal/mol of atoms. As for the energy: -4.727 eV/atom. As for the energy relative to the lowest polymorph listed for this composition: 0.0 kJ/mol of atoms. For the density of states at the Fermi level, the calculation gives 6.49 states/eV per cell.

It has space group Amm2 (No. 38), with a = 4.909 Å, b = 4.071 Å, c = 11.266 Å, α = 90.00°, β = 90.00° and γ = 90.00°. The distinct sites, in fractional coordinates, are Ac at (0.000, 0.000, 0.000), Nd at (0.500, 0.000, 0.723), Ag at (0.500, 0.000, 0.435) and Pd at (0.000, 0.000, 0.276).

***

2.
# PmNdCl6

An optimized crystal structure of PmNdCl6 (PBE-GGA, the Alexandria database).

For the raw formation energy, the calculation gives -2.241 eV per atom. As for the energy: -4.815 eV/atom. As for the energy relative to the lowest polymorph listed for this composition: 0.0 kJ/mol of atoms. For the density of states at the Fermi level, the calculation gives 0.00 states/eV per cell.

It has space group R-3 (No. 148, hexagonal axes), with a = 6.9023 Å, b = 6.9023 Å, c = 19.0536 Å, α = 90.00°, β = 90.00° and γ = 120.00°. The distinct sites, in fractional coordinates, are Pm at (0.0000, 0.0000, 0.0000), Nd at (0.0000, 0.0000, 0.5000) and Cl at (0.0018, 0.6500, 0.7497).

***

3.
# Li3Bi5Cl12

An optimized crystal structure of Li3Bi5Cl12 (PBE-GGA, the Alexandria database).

For the raw formation energy, the calculation gives -0.828 eV per atom. As for the energy: -3.193 eV/atom. For the density of states at the Fermi level, the calculation gives 24.95 states/eV per cell.

It has space group Ia-3d (No. 230), with a = 17.353 Å, b = 17.353 Å, c = 17.353 Å, α = 90.00°, β = 90.00° and γ = 90.00°. The distinct sites, in fractional coordinates, are Li at (0.000, 0.250, 0.125), Bi at (0.000, 0.000, 0.000), Bi at (0.000, 0.250, 0.375) and Cl at (0.018, 0.155, 0.524).

***

4.
# NbZn2Au

An optimized crystal structure of NbZn2Au (PBE-GGA, the Alexandria database).

For the energy relative to the elements, the calculation gives -3.17 kcal/mol of atoms. As for the energy: -4.111 eV/atom. For the density of states at the Fermi level, the calculation gives 1.65 states/eV per cell.

It has space group P4/mmm (No. 123), with a = 2.891 Å, b = 2.891 Å, c = 7.790 Å, α = 90.00°, β = 90.00° and γ = 90.00°. The distinct sites, in fractional coordinates, are Nb at (0.000, 0.000, 0.000), Zn at (0.500, 0.500, 0.255) and Au at (0.000, 0.000, 0.500).

***

5.
# HoTc4W

An optimized crystal structure of HoTc4W (PBE-GGA, the Alexandria database).

For the energy relative to the elements, the calculation gives 2.63 kcal/mol of atoms. As for the energy: -9.719 eV/atom. For the density of states at the Fermi level, the calculation gives 32.28 states/eV per cell.

It has space group F-43m (No. 216), with a = 7.396 Å, b = 7.396 Å, c = 7.396 Å, α = 90.00°, β = 90.00° and γ = 90.00°. The distinct sites, in fractional coordinates, are Ho at (0.000, 0.000, 0.000), Tc at (0.125, 0.125, 0.375) and W at (0.250, 0.250, 0.750).

***

6.
# FeCuNi4

An optimized crystal structure of FeCuNi4 (PBE-GGA, the Alexandria database).

For the energy relative to the elements, the calculation gives -0.18 kcal/mol of atoms. As for the energy: -5.955 eV/atom. As for the energy relative to the lowest polymorph listed for this composition: 0.0 kJ/mol of atoms. For the density of states at the Fermi level, the calculation gives 8.07 states/eV per cell.

It has space group Pmmm (No. 47), with a = 2.498 Å, b = 3.569 Å, c = 7.510 Å, α = 90.00°, β = 90.00° and γ = 90.00°. The distinct sites, in fractional coordinates, are Fe at (0.000, 0.000, 0.000), Cu at (0.500, 0.500, 0.500), Ni at (0.000, 0.000, 0.331) and Ni at (0.500, 0.500, 0.166).

***

7.
# LaBeIr

An optimized crystal structure of LaBeIr (PBE-GGA, the Alexandria database).

For the energy relative to the elements, the calculation gives -12.52 kcal/mol of atoms. As for the energy: -6.381 eV/atom. As for the energy relative to the lowest polymorph listed for this composition: 3.4 kJ/mol of atoms. For the density of states at the Fermi level, the calculation gives 5.82 states/eV per cell.

It has space group Cmme (No. 67), with a = 5.696 Å, b = 5.707 Å, c = 7.226 Å, α = 90.00°, β = 90.00° and γ = 90.00°. The distinct sites, in fractional coordinates, are La at (0.000, 0.250, 0.181), Be at (0.250, 0.000, 0.500) and Ir at (0.000, 0.250, 0.677).

***

8.
# Mg2FePb

An optimized crystal structure of Mg2FePb (PBE-GGA, the Alexandria database).

For the energy relative to the elements, the calculation gives 5.43 kcal/mol of atoms. As for the energy: -3.604 eV/atom. For the density of states at the Fermi level, the calculation gives 3.15 states/eV per cell.

It has space group P4/mmm (No. 123), with a = 4.315 Å, b = 4.315 Å, c = 4.254 Å, α = 90.00°, β = 90.00° and γ = 90.00°. The distinct sites, in fractional coordinates, are Mg at (0.000, 0.500, 0.000), Fe at (0.000, 0.000, 0.500) and Pb at (0.500, 0.500, 0.500).

***

9.
# SrCu5Ni2

An optimized crystal structure of SrCu5Ni2 (PBE-GGA, the Alexandria database).

For the energy relative to the elements, the calculation gives 2.25 kcal/mol of atoms. As for the energy: -4.118 eV/atom. For the density of states at the Fermi level, the calculation gives 7.48 states/eV per cell.

It has space group Immm (No. 71), with a = 3.850 Å, b = 6.958 Å, c = 9.125 Å, α = 90.00°, β = 90.00° and γ = 90.00°. The distinct sites, in fractional coordinates, are Sr at (0.000, 0.000, 0.000), Cu at (0.000, 0.177, 0.346), Cu at (0.000, 0.500, 0.000) and Ni at (0.000, 0.500, 0.255).

***

10.
# Sr2Li2MgHg

An optimized crystal structure of Sr2Li2MgHg (PBE-GGA, the Alexandria database).

For the energy relative to the elements, the calculation gives -3.50 kcal/mol of atoms. As for the energy: -1.666 eV/atom. For the density of states at the Fermi level, the calculation gives 19.78 states/eV per cell.

It has space group Ibam (No. 72), with a = 6.915 Å, b = 15.505 Å, c = 7.059 Å, α = 90.00°, β = 90.00° and γ = 90.00°. The distinct sites, in fractional coordinates, are Sr at (0.243, 0.163, 0.000), Li at (0.234, 0.094, 0.500), Mg at (0.000, 0.500, 0.250) and Hg at (0.000, 0.000, 0.250).

***

11.
# Re8Tc2Pd

An optimized crystal structure of Re8Tc2Pd (PBE-GGA, the Alexandria database).

For the energy relative to the elements, the calculation gives 5.58 kcal/mol of atoms. As for the energy: -11.168 eV/atom. For the density of states at the Fermi level, the calculation gives 8.64 states/eV per cell.

It has space group P-1 (No. 2), with a = 4.961 Å, b = 5.339 Å, c = 6.995 Å, α = 108.45°, β = 98.00° and γ = 97.36°. The distinct sites, in fractional coordinates, are Re at (0.012, 0.427, 0.164), Re at (0.082, 0.063, 0.818), Re at (0.258, 0.865, 0.465), Re at (0.438, 0.112, 0.180), Tc at (0.263, 0.404, 0.547) and Pd at (0.500, 0.500, 0.000).

***

12.
# Ho2Si2Rh5Pb

An optimized crystal structure of Ho2Si2Rh5Pb (PBE-GGA, the Alexandria database).

For the raw formation energy, the calculation gives -0.883 eV per atom. As for the energy: -6.929 eV/atom. For the density of states at the Fermi level, the calculation gives 8.00 states/eV per cell.

It has space group P4/mbm (No. 127), with a = 9.825 Å, b = 9.825 Å, c = 3.567 Å, α = 90.00°, β = 90.00° and γ = 90.00°. The distinct sites, in fractional coordinates, are Ho at (0.176, 0.324, 0.000), Si at (0.121, 0.621, 0.000), Rh at (0.000, 0.500, 0.500), Rh at (0.070, 0.779, 0.500) and Pb at (0.000, 0.000, 0.000).

***

13.
# K2LaRu3O12

An optimized crystal structure of K2LaRu3O12 (PBE-GGA, the Alexandria database).

For the raw formation energy, the calculation gives -1.286 eV per atom. As for the energy: -6.533 eV/atom. For the density of states at the Fermi level, the calculation gives 18.44 states/eV per cell.

It has space group R-3m (No. 166, hexagonal axes), with a = 7.3826 Å, b = 7.3826 Å, c = 15.8455 Å, α = 90.00°, β = 90.00° and γ = 120.00°. The distinct sites, in fractional coordinates, are K at (0.0000, 0.0000, 0.0965), La at (0.0000, 0.0000, 0.5000), Ru at (0.0000, 0.5000, 0.0000), O at (0.0793, 0.5396, 0.8920) and O at (0.0807, 0.5404, 0.2980).

***

14.
# La2HS

An optimized crystal structure of La2HS (PBE-GGA, the Alexandria database).

As for the energy: -5.376 eV/atom. As for the energy relative to the lowest polymorph listed for this composition: 16.1 kJ/mol of atoms. For the density of states at the Fermi level, the calculation gives 13.26 states/eV per cell.

It has space group I-42d (No. 122), with a = 7.004 Å, b = 7.004 Å, c = 7.352 Å, α = 90.00°, β = 90.00° and γ = 90.00°. The distinct sites, in fractional coordinates, are La at (0.191, 0.750, 0.125), H at (0.000, 0.000, 0.000) and S at (0.000, 0.000, 0.500).

***

15.
# Na2AsPbO

An optimized crystal structure of Na2AsPbO (PBE-GGA, the Alexandria database).

For the raw formation energy, the calculation gives -0.688 eV per atom. As for the energy: -3.879 eV/atom. For the density of states at the Fermi level, the calculation gives 1.32 states/eV per cell.

It has space group P4/mmm (No. 123), with a = 4.442 Å, b = 4.442 Å, c = 5.041 Å, α = 90.00°, β = 90.00° and γ = 90.00°. The distinct sites, in fractional coordinates, are Na at (0.000, 0.500, 0.000), As at (0.000, 0.000, 0.500), Pb at (0.500, 0.500, 0.500) and O at (0.500, 0.500, 0.000).

***

16.
# Sm4Ho3Tm5

An optimized crystal structure of Sm4Ho3Tm5 (PBE-GGA, the Alexandria database).

For the energy relative to the elements, the calculation gives 5.52 kcal/mol of atoms. As for the energy: -4.341 eV/atom. For the density of states at the Fermi level, the calculation gives 38.93 states/eV per cell.

It has space group C2/m (No. 12), with a = 15.949 Å, b = 5.873 Å, c = 9.292 Å, α = 90.00°, β = 116.70° and γ = 90.00°. The distinct sites, in fractional coordinates, are Sm at (0.084, 0.000, 0.446), Sm at (0.215, 0.000, 0.882), Ho at (0.000, 0.500, 0.000), Ho at (0.213, 0.000, 0.238), Tm at (0.000, 0.000, 0.000), Tm at (0.070, 0.500, 0.702) and Tm at (0.171, 0.500, 0.382).

***

17.
# Sm7Ho3Sc

An optimized crystal structure of Sm7Ho3Sc (PBE-GGA, the Alexandria database).

For the energy relative to the elements, the calculation gives 3.15 kcal/mol of atoms. As for the energy: -4.691 eV/atom. As for the energy relative to the lowest polymorph listed for this composition: 0.0 kJ/mol of atoms. For the density of states at the Fermi level, the calculation gives 72.97 states/eV per cell.

It has space group Cmcm (No. 63), with a = 18.380 Å, b = 7.031 Å, c = 11.202 Å, α = 90.00°, β = 90.00° and γ = 90.00°. The distinct sites, in fractional coordinates, are Sm at (0.000, 0.237, 0.250), Sm at (0.086, 0.236, 0.750), Sm at (0.161, 0.245, 0.029), Ho at (0.000, 0.500, 0.000), Ho at (0.245, 0.499, 0.750) and Sc at (0.000, 0.000, 0.000).

***

18.
# LuPaRe2

An optimized crystal structure of LuPaRe2 (PBE-GGA, the Alexandria database).

For the energy relative to the elements, the calculation gives -0.24 kcal/mol of atoms. As for the energy: -9.739 eV/atom. As for the energy relative to the lowest polymorph listed for this composition: 0.0 kJ/mol of atoms. For the density of states at the Fermi level, the calculation gives 12.76 states/eV per cell.

It has space group Fm-3m (No. 225), with a = 6.815 Å, b = 6.815 Å, c = 6.815 Å, α = 90.00°, β = 90.00° and γ = 90.00°. The distinct sites, in fractional coordinates, are Lu at (0.000, 0.000, 0.000), Pa at (0.000, 0.000, 0.500) and Re at (0.250, 0.250, 0.250).

***

19.
# CeHS

An optimized crystal structure of CeHS (PBE-GGA, the Alexandria database).

As for the energy: -5.516 eV/atom. For the density of states at the Fermi level, the calculation gives 11.16 states/eV per cell.

It has space group I4mm (No. 107), with a = 3.661 Å, b = 3.661 Å, c = 7.778 Å, α = 90.00°, β = 90.00° and γ = 90.00°. The distinct sites, in fractional coordinates, are Ce at (0.000, 0.000, 0.000), H at (0.000, 0.000, 0.312) and S at (0.000, 0.000, 0.644).

***

20.
# LaNd2Tm2

An optimized crystal structure of LaNd2Tm2 (PBE-GGA, the Alexandria database).

For the energy relative to the elements, the calculation gives 3.13 kcal/mol of atoms. As for the energy: -4.546 eV/atom. As for the energy relative to the lowest polymorph listed for this composition: 10.4 kJ/mol of atoms. For the density of states at the Fermi level, the calculation gives 34.15 states/eV per cell.

It has space group Imma (No. 74), with a = 5.867 Å, b = 7.131 Å, c = 16.437 Å, α = 90.00°, β = 90.00° and γ = 90.00°. The distinct sites, in fractional coordinates, are La at (0.000, 0.250, 0.111), Nd at (0.000, 0.004, 0.690), Tm at (0.000, 0.250, 0.501) and Tm at (0.000, 0.250, 0.884).